No. 1
This record from Alexandria describes crystalline LaErLuHg at its relaxed geometry. The functional is GGA-PBE.

* mass density: 9.8 g cm⁻³
* total moment: 0.01 μB/f.u.
* space-group type: No. 216
* energy: -3.6575 eV per atom
* ΔE_f: -79.3 meV per atom

Cell: 5.4721 5.4721 5.4721 Å, 60.00 60.00 60.00°
With the nearest neighbours (Å) after each atom.
Atoms (fractional coordinates):
La  0.0000  0.0000  0.0000  4 Lu 3.35, 4 Hg 3.35
Er  0.5000  0.5000  0.5000  4 Hg 3.35, 4 Lu 3.35
Lu  0.7500  0.7500  0.7500  4 Er 3.35, 4 La 3.35
Hg  0.2500  0.2500  0.2500  4 Er 3.35, 4 La 3.35

No. 2
This record from Alexandria describes crystalline LaEr2MgHg4 at its relaxed geometry. The functional is GGA-PBE.

* mass density: 10.5 g cm⁻³
* total moment: 0.00 μB/f.u.
* space-group type: No. 166
* energy: -2.5429 eV per atom
* ΔE_f: -436.0 meV per atom

Cell: 9.5998 9.5998 9.5998 Å, 30.80 30.80 30.80°
With the nearest neighbours (Å) after each atom.
Atoms (fractional coordinates):
La  0.0000  0.0000  0.0000  8 Hg 3.27-3.48
Er  0.2406  0.2406  0.2406  7 Hg 3.09-3.15
Er  0.7594  0.7594  0.7594  7 Hg 3.09-3.15
Mg  0.5000  0.5000  0.5000  8 Hg 3.14
Hg  0.1271  0.1271  0.1271  4 Er 3.09-3.11, 3 Mg 3.14
Hg  0.3855  0.3855  0.3855  1 Mg 3.14, 3 Er 3.15, 3 La 3.27
Hg  0.6145  0.6145  0.6145  1 Mg 3.14, 3 Er 3.15, 3 La 3.27
Hg  0.8729  0.8729  0.8729  4 Er 3.09-3.11, 3 Mg 3.14

No. 3
This record from Alexandria describes crystalline LaErMg2Hg2 at its relaxed geometry. The functional is GGA-PBE.

* mass density: 8.2 g cm⁻³
* total moment: 0.00 μB/f.u.
* space-group type: No. 164
* energy: -2.5581 eV per atom
* ΔE_f: -344.2 meV per atom

Cell: 5.0418 5.0418 6.9144 Å, 90.00 90.00 120.00°
With the nearest neighbours (Å) after each atom.
Atoms (fractional coordinates):
La  0.0000  0.0000  0.0000  6 Hg 3.43, 6 Mg 3.45, 2 Er 3.46
Er  0.0000  0.0000  0.5000  6 Mg 3.32, 6 Hg 3.34, 2 La 3.46
Mg  0.3333  0.6667  0.7317  4 Hg 2.91-3.24
Mg  0.6667  0.3333  0.2683  4 Hg 2.91-3.24
Hg  0.3333  0.6667  0.2633  4 Mg 2.91-3.24
Hg  0.6667  0.3333  0.7367  4 Mg 2.91-3.24

No. 4
This record from Alexandria describes crystalline NaLaErHg at its relaxed geometry. The functional is GGA-PBE.

* mass density: 7.6 g cm⁻³
* total moment: 0.67 μB/f.u.
* space-group type: No. 216
* energy: -2.8348 eV per atom
* ΔE_f: -57.0 meV per atom

Cell: 5.4698 5.4698 5.4698 Å, 60.00 60.00 60.00°
With the nearest neighbours (Å) after each atom.
Atoms (fractional coordinates):
Na  0.0000  0.0000  0.0000  4 La 3.35, 4 Er 3.35
La  0.2500  0.2500  0.2500  4 Hg 3.35, 4 Na 3.35
Er  0.7500  0.7500  0.7500  4 Hg 3.35, 4 Na 3.35
Hg  0.5000  0.5000  0.5000  4 La 3.35, 4 Er 3.35

No. 5
This record from Alexandria describes crystalline LaNdErHg at its relaxed geometry. The functional is GGA-PBE.

* relative energy among the computed polymorphs: 0.55 eV per formula unit
* mass density: 8.9 g cm⁻³
* total moment: 0.11 μB/f.u.
* space-group type: No. 216
* energy: -3.7321 eV per atom
* ΔE_f: -92.1 meV per atom

Cell: 5.5625 5.5625 5.5625 Å, 60.00 60.00 60.00°
With the nearest neighbours (Å) after each atom.
Atoms (fractional coordinates):
La  0.0000  0.0000  0.0000  4 Hg 3.41, 4 Er 3.41
Nd  0.5000  0.5000  0.5000  4 Hg 3.41, 4 Er 3.41
Er  0.2500  0.2500  0.2500  4 La 3.41, 4 Nd 3.41
Hg  0.7500  0.7500  0.7500  4 La 3.41, 4 Nd 3.41

No. 6
This record from Alexandria describes crystalline LaNdErHg at its relaxed geometry. The functional is GGA-PBE.

* relative energy among the computed polymorphs: 0.00 eV per formula unit
* mass density: 8.8 g cm⁻³
* total moment: 0.00 μB/f.u.
* space-group type: No. 99
* energy: -3.8686 eV per atom
* ΔE_f: -228.6 meV per atom

Cell: 3.7089 3.7089 8.9425 Å, 90.00 90.00 90.00°
With the nearest neighbours (Å) after each atom.
Atoms (fractional coordinates):
La  0.0000  0.0000  0.0000  4 Er 3.62, 4 Nd 3.70, 4 La 3.71
Nd  0.5000  0.5000  0.7089  4 Hg 3.36, 4 La 3.70, 4 Nd 3.71
Er  0.5000  0.5000  0.2787  4 Hg 3.15
Hg  0.0000  0.0000  0.4740  4 Er 3.15, 4 Nd 3.36